{"formula": "Li5Cd3", "functional": "GGA-PBE", "state": "optimized geometry", "final_energy_ev_per_cell": -13.9, "e_form_ev_per_fu": -1.624, "cell": [[-1.9612, 3.5735, 0.7354], [-2.9019, -1.0218, -2.7735], [-2.1964, -5.1025, 7.2711]], "species": ["Li", "Li", "Li", "Li", "Li", "Cd", "Cd", "Cd"], "frac_coords": [[0.6276, 0.6276, 0.2551], [0.9995, 0.4995, 0.9990], [0.3724, 0.3724, 0.7449], [0.7500, 0.2500, 0.5000], [0.5005, 0.0005, 0.0010], [0.1207, 0.1207, 0.2415], [0.8793, 0.8793, 0.7585], [0.2500, 0.7500, 0.5000]]}